Here is a relaxed SrCa2Nb crystal from Alexandria. Energies are from GGA-PBE.

a = 4.877 Å, b = 4.877 Å, c = 12.673 Å
α = 78.91°, β = 78.91°, γ = 90.00°
Sites, in units of the cell vectors:
1 Ca 0.375 0.354 0.750
2 Sr 0.250 0.750 0.500
3 Ca 0.875 0.896 0.750
4 Nb 0.000 0.000 0.000
5 Ca 0.104 0.625 0.250
6 Nb 0.750 0.250 0.500
7 Ca 0.646 0.125 0.250
8 Sr 0.500 0.500 0.000

Calculated values
DOS at the Fermi energy, states/eV per atom: 0.890
Energy above the lowest structure with this stoichiometry, kJ/mol of formula units: 104
SG: I-42d (122)
DFT formation energy, meV/atom: 914.3

Here is a relaxed AcMgZn2Ir crystal from Alexandria. Energies are from GGA-PBE.

a = 4.164 Å, b = 4.252 Å, c = 6.772 Å
α = 108.30°, β = 107.91°, γ = 90.00°
Sites, in units of the cell vectors:
1 Ac 0.426 0.426 0.853
2 Ir 0.840 0.840 0.681
3 Zn 0.052 0.052 0.105
4 Mg 0.196 0.696 0.391
5 Zn 0.697 0.197 0.395

Calculated values
DOS at the Fermi energy, states/eV per atom: 0.420
SG: Imm2 (44)
DFT formation energy, meV/atom: -399.5